10
Lattice="4.2311 0.0000 0.0000 0.0000 4.2311 0.0000 0.0000 0.0000 10.2366" Properties=species:S:1:pos:R:3 comment="SrSi2IrPd, relaxed, DFT PBE" magnetic_moment_mub_per_atom=0.001 volume_a3_per_atom=18.33 final_energy_ev_per_cell=-60.7 space_group=I-4m2 pbc="T T T"
Sr 0.0000 0.0000 0.0000
Sr 2.1155 2.1155 5.1183
Si 0.0000 0.0000 3.7993
Si 0.0000 0.0000 6.4373
Si 2.1155 2.1155 1.3190
Si 2.1155 2.1155 8.9176
Ir 0.0000 2.1155 7.6774
Ir 2.1155 0.0000 2.5591
Pd 0.0000 2.1155 2.5591
Pd 2.1155 0.0000 7.6774